w | # Na5Mg3, relaxed, DFT GGA-PBE
# V = 30.18 A^3/atom
# D(E_F) = 5.55 states/eV per cell
data_Na5Mg3
_chemical_formula_sum 'Na10 Mg6'
_cell_length_a 8.8562
_cell_length_b 10.4344
_cell_length_c 5.2247
_cell_angle_alpha 90.00
_cell_angle_beta 90.00
_cell_angle_gamma 90.00
_space_group_name_H-M_alt 'C m m m'
_space_group_IT_number 65
_space_group_name_Hall '-C 2 2'
loop_
_atom_site_label
_atom_site_type_symbol
_atom_site_fract_x
_atom_site_fract_y
_atom_site_fract_z
_atom_site_occupancy
Na1 Na 0.0000 0.0000 0.0000 1
Na2 Na 0.0000 0.2268 0.5000 1
Na3 Na 0.2500 0.2500 0.0000 1
Mg1 Mg 0.0000 0.5000 0.0000 1
Mg2 Mg 0.2016 0.5000 0.5000 1


x | # Na5Mg3, relaxed, DFT GGA-PBE
# V = 31.97 A^3/atom
# D(E_F) = 5.82 states/eV per cell
data_Na5Mg3
_chemical_formula_sum 'Na10 Mg6'
_cell_length_a 9.8172
_cell_length_b 9.8172
_cell_length_c 6.1305
_cell_angle_alpha 90.00
_cell_angle_beta 90.00
_cell_angle_gamma 120.00
_space_group_name_H-M_alt 'P 63/m c m'
_space_group_IT_number 193
_space_group_name_Hall '-P 6c 2'
loop_
_atom_site_label
_atom_site_type_symbol
_atom_site_fract_x
_atom_site_fract_y
_atom_site_fract_z
_atom_site_occupancy
Na1 Na 0.0000 0.2355 0.2500 1
Na2 Na 0.3333 0.6667 0.0000 1
Mg1 Mg 0.0000 0.4171 0.7500 1


Short version: w is the most stable of them.